Record 1
The following is a GGA-PBE calculation of a relaxed structure of CeHBr, from Alexandria via LeMat-Bulk.

a = 4.582 Å, b = 4.582 Å, c = 12.501 Å
α = 90.00°, β = 90.00°, γ = 90.00°
Fractional coordinates of all 12 atoms:
Ce  0.000  0.000  0.157
Ce  0.000  0.000  0.843
Ce  0.500  0.500  0.343
Ce  0.500  0.500  0.657
H  0.000  0.500  0.250
H  0.000  0.500  0.750
H  0.500  0.000  0.250
H  0.500  0.000  0.750
Br  0.000  0.500  0.000
Br  0.000  0.500  0.500
Br  0.500  0.000  0.000
Br  0.500  0.000  0.500

Calculated values
For the density, the calculation gives 5.6 g cm⁻³. For the magnetic moment, the calculation gives 1.39 μB/f.u. Its total energy is -0.1650 hartree per atom.

Record 2
The following is a GGA-PBE calculation of a relaxed structure of CeHBr, from Alexandria via LeMat-Bulk.

a = 3.904 Å, b = 3.904 Å, c = 4.559 Å
α = 90.00°, β = 90.00°, γ = 120.00°
Fractional coordinates of all 3 atoms:
Ce  0.000  0.000  0.000
H  0.333  0.667  0.000
Br  0.667  0.333  0.500

Calculated values
For the density, the calculation gives 6.1 g cm⁻³. For the magnetic moment, the calculation gives 1.74 μB/f.u. Its total energy is -0.1694 hartree per atom.

Record 3
The following is a GGA-PBE calculation of a relaxed structure of CeH2Br3, from Alexandria via LeMat-Bulk.

a = 8.006 Å, b = 8.006 Å, c = 7.817 Å
α = 90.00°, β = 90.00°, γ = 120.00°
Fractional coordinates of all 12 atoms:
Ce  0.000  0.000  0.000
Ce  0.000  0.000  0.500
H  0.333  0.667  0.051
H  0.333  0.667  0.449
H  0.667  0.333  0.551
H  0.667  0.333  0.949
Br  0.158  0.317  0.750
Br  0.158  0.842  0.750
Br  0.317  0.158  0.250
Br  0.683  0.842  0.750
Br  0.842  0.158  0.250
Br  0.842  0.683  0.250

Calculated values
For the density, the calculation gives 2.9 g cm⁻³. For the magnetic moment, the calculation gives 3.00 μB/f.u. Its total energy is -0.1241 hartree per atom.

Q: Which of these has the lowest density?
A: CeH2Br3

Q: magnetic moment of number 2 (CeHBr)?
A: 1.74 μB/f.u.

What did the first record say?
The following is a GGA-PBE calculation of a relaxed structure of CeHBr, from Alexandria via LeMat-Bulk.

a = 4.582 Å, b = 4.582 Å, c = 12.501 Å
α = 90.00°, β = 90.00°, γ = 90.00°
Fractional coordinates of all 12 atoms:
Ce  0.000  0.000  0.157
Ce  0.000  0.000  0.843
Ce  0.500  0.500  0.343
Ce  0.500  0.500  0.657
H  0.000  0.500  0.250
H  0.000  0.500  0.750
H  0.500  0.000  0.250
H  0.500  0.000  0.750
Br  0.000  0.500  0.000
Br  0.000  0.500  0.500
Br  0.500  0.000  0.000
Br  0.500  0.000  0.500

Calculated values
For the density, the calculation gives 5.6 g cm⁻³. For the magnetic moment, the calculation gives 1.39 μB/f.u. Its total energy is -0.1650 hartree per atom.

Q: Which of these has the highest magnetic moment?
A: CeH2Br3